Material: Rb3Ac2ZrSe6
Method: DFT, GGA-PBE
State: optimized geometry

a b c (Å): 7.6395 13.2298 8.4461
angles (deg): 90.00 107.69 90.00
Last column: nearest neighbours and their distance in Å.
Space group C2/m (No. 12)
One atom of each set of equivalent atoms:
Rb 0.0000 0.0000 0.0000 (multiplicity 2)  6 Se 3.42-3.68
Rb 0.0000 0.3298 0.0000 (multiplicity 4)  6 Se 3.44-3.64
Ac 0.0000 0.1663 0.5000 (multiplicity 4)  6 Se 3.12
Zr 0.0000 0.5000 0.5000 (multiplicity 2)  6 Se 2.83
Se 0.2191 0.3481 0.7010 (multiplicity 8)  1 Zr 2.83, 2 Ac 3.12
Se 0.2353 0.5000 0.2984 (multiplicity 4)  1 Zr 2.83, 2 Ac 3.12

* electronic total energy: -4.96 eV/atom
* E_form (uncorrected): -1.58 eV per atom